No. 1
A relaxed Pr5Tm4Th2 crystal. Source: Alexandria via LeMat-Bulk, functional PBE-GGA.

abc: 8.8939 3.5392 11.8406
angles: 90.00 94.48 90.00
Last column: nearest neighbours and their distance in Å.
Space group P2/m (No. 10)
One atom of each set of equivalent atoms:
Pr  0.0000  0.0000  0.0000 (multiplicity 1)  6 Pr 3.49-3.54, 4 Tm 3.62
Pr  0.0724  0.0000  0.2949 (multiplicity 2)  1 Th 3.46, 4 Pr 3.50-3.65, 6 Tm 3.60-3.77
Pr  0.3123  0.0000  0.8384 (multiplicity 2)  1 Th 3.30, 4 Pr 3.49-3.65, 4 Tm 3.61-3.66
Tm  0.2024  0.5000  0.5482 (multiplicity 2)  3 Tm 3.54-3.69, 4 Th 3.58-3.70, 6 Pr 3.60-3.92
Tm  0.3356  0.5000  0.1103 (multiplicity 2)  2 Tm 3.54, 2 Th 3.60, 8 Pr 3.61-3.77
Th  0.4573  0.0000  0.3665 (multiplicity 2)  3 Th 3.19-3.54, 2 Pr 3.30-3.46

Calculated values
DFT formation energy, eV/atom: 0.12
Crystal system: monoclinic
Final energy, eV/atom: -5.030

No. 2
A relaxed PrTm5Th4 crystal. Source: Alexandria via LeMat-Bulk, functional PBE-GGA.

abc: 3.5513 3.5513 25.0644
angles: 90.00 90.00 90.00
Last column: nearest neighbours and their distance in Å.
Space group P4/mmm (No. 123)
One atom of each set of equivalent atoms:
Pr  0.0000  0.0000  0.0000 (multiplicity 1)  4 Pr 3.55, 8 Tm 3.64
Tm  0.5000  0.5000  0.1049 (multiplicity 2)  4 Th 3.50, 4 Tm 3.55, 4 Pr 3.64
Tm  0.5000  0.5000  0.3013 (multiplicity 2)  8 Th 3.54, 4 Tm 3.55
Tm  0.5000  0.5000  0.5000 (multiplicity 1)  8 Th 3.54, 4 Tm 3.55
Th  0.0000  0.0000  0.2020 (multiplicity 2)  8 Tm 3.50-3.54, 4 Th 3.55
Th  0.0000  0.0000  0.4006 (multiplicity 2)  8 Tm 3.54, 4 Th 3.55

Calculated values
DFT formation energy, eV/atom: 0.02
Crystal system: tetragonal
Final energy, eV/atom: -5.659

No. 3
A relaxed PrTmTh2 crystal. Source: Alexandria via LeMat-Bulk, functional PBE-GGA.

abc: 8.0539 8.0539 8.0539
angles: 90.00 90.00 90.00
Last column: nearest neighbours and their distance in Å.
Space group Fm-3m (No. 225)
One atom of each set of equivalent atoms:
Pr  0.0000  0.0000  0.0000 (multiplicity 4)  8 Th 3.49
Tm  0.0000  0.0000  0.5000 (multiplicity 4)  8 Th 3.49
Th  0.2500  0.2500  0.2500 (multiplicity 8)  4 Pr 3.49, 4 Tm 3.49

Calculated values
DFT formation energy, eV/atom: 0.19
Crystal system: cubic
Final energy, eV/atom: -5.832

No. 4
A relaxed Pr7Tm2Th2 crystal. Source: Alexandria via LeMat-Bulk, functional PBE-GGA.

abc: 11.7306 11.5599 6.1091
angles: 90.00 112.46 90.00
Last column: nearest neighbours and their distance in Å.
Space group C2/m (No. 12)
One atom of each set of equivalent atoms:
Pr  0.0000  0.0000  0.0000 (multiplicity 2)  4 Pr 3.28, 2 Tm 3.63
Pr  0.0623  0.5000  0.7950 (multiplicity 4)  2 Pr 3.33-3.35, 2 Tm 3.56-3.71, 2 Th 3.71
Pr  0.1880  0.2215  0.1825 (multiplicity 8)  2 Pr 3.16-3.28, 2 Th 3.45-3.51, 1 Tm 3.48
Tm  0.2222  0.0000  0.6077 (multiplicity 4)  2 Th 3.46, 7 Pr 3.48-3.71
Th  0.0000  0.2130  0.5000 (multiplicity 4)  6 Pr 3.45-3.71, 2 Tm 3.46

Calculated values
DFT formation energy, eV/atom: 0.18
Crystal system: monoclinic
Final energy, eV/atom: -5.021

No. 5
A relaxed Pr2TmTh2 crystal. Source: Alexandria via LeMat-Bulk, functional PBE-GGA.

abc: 3.6149 3.6149 44.1737
angles: 90.00 90.00 120.00
Last column: nearest neighbours and their distance in Å.
Space group R-3m (No. 166, hexagonal axes)
One atom of each set of equivalent atoms:
Pr  0.0000  0.0000  0.2037 (multiplicity 6)  3 Th 3.56, 9 Pr 3.61-3.88
Tm  0.0000  0.0000  0.0000 (multiplicity 3)  6 Th 3.52, 6 Tm 3.61
Th  0.0000  0.0000  0.3976 (multiplicity 6)  3 Tm 3.52, 3 Pr 3.56, 6 Th 3.61

Calculated values
DFT formation energy, eV/atom: 0.04
Crystal system: trigonal
Final energy, eV/atom: -5.735

No. 6
A relaxed PrTm5Th crystal. Source: Alexandria via LeMat-Bulk, functional PBE-GGA.

abc: 8.9166 3.5809 14.2169
angles: 90.00 103.12 90.00
Last column: nearest neighbours and their distance in Å.
Space group P2_1/m (No. 11)
One atom of each set of equivalent atoms:
Pr  0.1885  0.2500  0.1666 (multiplicity 2)  7 Tm 3.38-3.63, 2 Pr 3.58
Tm  0.0149  0.7500  0.3144 (multiplicity 2)  8 Tm 3.33-3.58, 2 Pr 3.39, 1 Th 3.50
Tm  0.1709  0.2500  0.9170 (multiplicity 2)  8 Tm 3.33-3.69, 3 Pr 3.52-3.63
Tm  0.1861  0.2500  0.5138 (multiplicity 2)  9 Tm 3.34-3.71, 3 Th 3.48-3.49
Tm  0.3182  0.7500  0.7295 (multiplicity 2)  10 Tm 3.40-3.69, 2 Th 3.68
Tm  0.4570  0.7500  0.0874 (multiplicity 2)  9 Tm 3.29-3.58, 2 Pr 3.38
Th  0.4168  0.7500  0.3909 (multiplicity 2)  6 Tm 3.48-3.68, 4 Th 3.58-3.60, 2 Pr 3.82

Calculated values
DFT formation energy, eV/atom: 0.06
Crystal system: monoclinic
Final energy, eV/atom: -4.874

No. 7
A relaxed PrTmTh14 crystal. Source: Alexandria via LeMat-Bulk, functional PBE-GGA.

abc: 11.6063 7.1751 12.4476
angles: 90.00 90.00 90.00
Last column: nearest neighbours and their distance in Å.
Space group Amm2 (No. 38)
One atom of each set of equivalent atoms:
Pr  0.0000  0.0000  0.0000 (multiplicity 2)  10 Th 3.55-3.64, 2 Tm 3.59
Tm  0.0000  0.0000  0.4990 (multiplicity 2)  10 Th 3.56-3.61, 2 Pr 3.59
Th  0.0000  0.2484  0.2463 (multiplicity 4)  2 Pr 3.55-3.64, 8 Th 3.56-3.61, 2 Tm 3.57-3.61
Th  0.2498  0.0000  0.6647 (multiplicity 4)  1 Tm 3.56, 11 Th 3.56-3.60
Th  0.2510  0.2489  0.4147 (multiplicity 8)  10 Th 3.55-3.60, 1 Tm 3.57, 1 Pr 3.59
Th  0.2525  0.0000  0.1656 (multiplicity 4)  11 Th 3.54-3.60, 1 Pr 3.58
Th  0.5000  0.0000  0.3318 (multiplicity 2)  12 Th 3.54-3.60
Th  0.5000  0.0000  0.8316 (multiplicity 2)  12 Th 3.56-3.59
Th  0.5000  0.2493  0.5814 (multiplicity 4)  12 Th 3.55-3.60

Calculated values
DFT formation energy, eV/atom: 0.04
Crystal system: orthorhombic
Final energy, eV/atom: -7.031

No. 8
A relaxed Pr2Tm4Th3 crystal. Source: Alexandria via LeMat-Bulk, functional PBE-GGA.

abc: 3.5613 3.5613 26.6229
angles: 90.00 90.00 120.00
Last column: nearest neighbours and their distance in Å.
Space group P3m1 (No. 156)
One atom of each set of equivalent atoms:
Pr  0.0000  0.0000  0.0000 (multiplicity 1)  6 Pr 3.56, 3 Tm 3.61, 3 Th 3.67
Pr  0.0000  0.0000  0.2255 (multiplicity 1)  1 Tm 3.41, 6 Pr 3.56, 3 Th 3.61
Tm  0.0000  0.0000  0.3536 (multiplicity 1)  1 Pr 3.41, 3 Th 3.48, 6 Tm 3.56
Tm  0.0000  0.0000  0.5691 (multiplicity 1)  9 Tm 3.44-3.56, 3 Th 3.58
Tm  0.3333  0.6667  0.6729 (multiplicity 1)  9 Tm 3.44-3.56, 3 Th 3.54
Tm  0.3333  0.6667  0.8886 (multiplicity 1)  3 Th 3.52, 6 Tm 3.56, 3 Pr 3.61
Th  0.0000  0.0000  0.7813 (multiplicity 1)  6 Tm 3.52-3.54, 6 Th 3.56
Th  0.3333  0.6667  0.1140 (multiplicity 1)  6 Th 3.56, 6 Pr 3.61-3.67
Th  0.3333  0.6667  0.4591 (multiplicity 1)  6 Tm 3.48-3.58, 6 Th 3.56

Calculated values
DFT formation energy, eV/atom: 0.08
Crystal system: trigonal
Final energy, eV/atom: -5.441

No. 9
A relaxed Pr2Tm5Th crystal. Source: Alexandria via LeMat-Bulk, functional PBE-GGA.

abc: 7.0844 14.2065 5.0660
angles: 90.00 90.00 90.00
Last column: nearest neighbours and their distance in Å.
Space group Pbam (No. 55)
One atom of each set of equivalent atoms:
Pr  0.2485  0.1242  0.0000 (multiplicity 4)  10 Tm 3.48-3.61, 2 Th 3.56
Tm  0.0000  0.0000  0.5000 (multiplicity 2)  2 Th 3.54, 4 Pr 3.55, 6 Tm 3.57-3.59
Tm  0.0087  0.7487  0.5000 (multiplicity 4)  1 Th 3.53, 4 Pr 3.54-3.61, 7 Tm 3.54-3.60
Tm  0.2391  0.3774  0.0000 (multiplicity 4)  4 Pr 3.48-3.61, 2 Th 3.51, 6 Tm 3.56-3.60
Th  0.0000  0.5000  0.5000 (multiplicity 2)  8 Tm 3.51-3.54, 4 Pr 3.56

Calculated values
DFT formation energy, eV/atom: 0.03
Crystal system: orthorhombic
Final energy, eV/atom: -4.884

No. 10
A relaxed PrTmTh2 crystal. Source: Alexandria via LeMat-Bulk, functional PBE-GGA.

abc: 5.0261 5.0261 5.1600
angles: 90.00 90.00 90.00
Last column: nearest neighbours and their distance in Å.
Space group P4/mmm (No. 123)
One atom of each set of equivalent atoms:
Pr  0.0000  0.0000  0.0000 (multiplicity 1)  4 Tm 3.55, 8 Th 3.60
Tm  0.5000  0.5000  0.0000 (multiplicity 1)  4 Pr 3.55, 8 Th 3.60
Th  0.0000  0.5000  0.5000 (multiplicity 2)  4 Th 3.55, 4 Pr 3.60, 4 Tm 3.60

Calculated values
DFT formation energy, eV/atom: 0.07
Crystal system: tetragonal
Final energy, eV/atom: -5.952

No. 11
A relaxed Pr2Tm12Th5 crystal. Source: Alexandria via LeMat-Bulk, functional PBE-GGA.

abc: 12.7651 11.4925 9.3648
angles: 90.00 117.39 90.00
Last column: nearest neighbours and their distance in Å.
Space group C2/m (No. 12)
One atom of each set of equivalent atoms:
Pr  0.0000  0.2198  0.0000 (multiplicity 4)  10 Tm 3.40-3.80, 2 Th 3.61
Tm  0.0712  0.0000  0.7878 (multiplicity 4)  4 Tm 3.23-3.48, 2 Th 3.35-3.47, 2 Pr 3.58
Tm  0.1015  0.2406  0.4073 (multiplicity 8)  5 Tm 3.33-3.72, 1 Pr 3.43, 4 Th 3.49-3.64
Tm  0.1122  0.5000  0.9279 (multiplicity 4)  3 Th 3.46-3.62, 6 Tm 3.55-3.77, 2 Pr 3.71
Tm  0.2026  0.2432  0.8043 (multiplicity 8)  5 Tm 3.23-3.55, 2 Th 3.32-3.52, 1 Pr 3.40
Th  0.0000  0.5000  0.5000 (multiplicity 2)  4 Th 3.42-3.66, 6 Tm 3.52-3.58
Th  0.2031  0.0000  0.2509 (multiplicity 4)  6 Tm 3.32-3.64, 2 Th 3.32-3.42, 2 Pr 3.61
Th  0.2243  0.5000  0.3600 (multiplicity 4)  2 Th 3.32-3.66, 8 Tm 3.47-3.62

Calculated values
DFT formation energy, eV/atom: 0.16
Crystal system: monoclinic
Final energy, eV/atom: -5.115

No. 12
A relaxed Pr2Tm2Th3 crystal. Source: Alexandria via LeMat-Bulk, functional PBE-GGA.

abc: 3.5511 36.7712 3.5591
angles: 90.00 90.00 90.00
Last column: nearest neighbours and their distance in Å.
Space group Cmmm (No. 65)
One atom of each set of equivalent atoms:
Pr  0.0000  0.2071  0.0000 (multiplicity 4)  6 Pr 3.55-3.62, 4 Tm 3.63
Tm  0.0000  0.3639  0.5000 (multiplicity 4)  4 Th 3.53, 4 Tm 3.55-3.56, 4 Pr 3.63
Th  0.0000  0.0687  0.0000 (multiplicity 4)  4 Tm 3.53, 8 Th 3.55-3.56
Th  0.0000  0.5000  0.5000 (multiplicity 2)  12 Th 3.55-3.56

Calculated values
DFT formation energy, eV/atom: 0.07
Crystal system: orthorhombic
Final energy, eV/atom: -5.749